## LiSc3Bi (PBE)

Data for a relaxed LiSc3Bi crystal.

calculated volume: 34.16 A^3/atom
symmetry: No. 221
formation energy from the elements: 0.45 eV per atom
magnetic moment: 2.4 μB per formula unit
mass density: 3.41 g cm⁻³

```
LiSc3Bi
1.0
-0.645 -3.116 -4.545
-1.260 -4.372 3.176
-5.365 1.401 -0.200
Sc Bi Li
3 1 1
Direct
0.000 0.500 0.000
0.000 0.000 0.500
0.500 0.000 0.000
0.000 0.000 0.000
0.500 0.500 0.500
```